1.
Computed, not measured: a relaxed HoHf2Re9 crystal at the PBE-GGA level of DFT.

Cell lengths 5.2712, 5.2712, 9.2658 Å; angles 73.47, 73.47, 60.00 degrees
Closest atoms and distances in Å follow each position.
Atoms (fractional coordinates):
Ho1 0.0000 0.0000 0.0000  6 Re 3.04
Hf1 0.8568 0.8568 0.4296  12 Re 3.04-3.11, 3 Hf 3.28
Hf2 0.1432 0.1432 0.5704  12 Re 3.04-3.11, 3 Hf 3.28
Re1 0.6642 0.6642 0.0073  6 Re 2.69-2.75
Re2 0.3358 0.3358 0.9927  6 Re 2.69-2.75
Re3 0.5000 0.5000 0.5000  6 Re 2.63
Re4 0.4099 0.4099 0.2575  7 Re 2.57-2.75
Re5 0.9228 0.4099 0.2575  7 Re 2.57-2.75
Re6 0.4099 0.9228 0.2575  7 Re 2.57-2.75
Re7 0.5901 0.5901 0.7425  7 Re 2.57-2.75
Re8 0.5901 0.0772 0.7425  7 Re 2.57-2.75
Re9 0.0772 0.5901 0.7425  7 Re 2.57-2.75

## Properties
Density: 17.33 g cm⁻³
Energy of formation: -2.063 eV/f.u.
E: -11.548 eV/atom
SG: No. 166
Total magnetic moment: 0.0 μB/f.u.

***

2.
Computed, not measured: a relaxed Pr6MgNi2 crystal at the PBE-GGA level of DFT.

Cell lengths 8.7965, 8.7965, 8.7965 Å; angles 106.16, 108.67, 113.68 degrees
Closest atoms and distances in Å follow each position.
Atoms (fractional coordinates):
Pr1 0.5312 0.7102 0.8210  3 Ni 3.01-3.08, 1 Mg 3.34
Pr2 0.4688 0.2898 0.1790  3 Ni 3.01-3.08, 1 Mg 3.34
Pr3 0.1107 0.2898 0.8210  3 Ni 3.01-3.08, 1 Mg 3.34
Pr4 0.8893 0.7102 0.1790  3 Ni 3.01-3.08, 1 Mg 3.34
Pr5 0.8029 0.7640 0.5669  1 Ni 2.74
Pr6 0.1971 0.2360 0.4331  1 Ni 2.74
Pr7 0.1971 0.7640 0.9612  1 Ni 2.74
Pr8 0.8029 0.2360 0.0388  1 Ni 2.74
Pr9 0.6857 0.3620 0.6763  1 Ni 2.80
Pr10 0.3143 0.6380 0.3237  1 Ni 2.80
Pr11 0.3143 0.9907 0.6763  1 Ni 2.80
Pr12 0.6857 0.0093 0.3237  1 Ni 2.80
Mg1 0.0000 0.5000 0.5000  8 Pr 3.45-3.55
Mg2 0.0000 0.0000 0.0000  2 Ni 3.16, 8 Pr 3.21-3.34
Ni1 0.5000 0.3805 0.8805  1 Ni 2.53, 2 Pr 2.80
Ni2 0.5000 0.6195 0.1195  1 Ni 2.53, 2 Pr 2.80
Ni3 0.6924 0.0000 0.6924  2 Pr 2.74
Ni4 0.3076 0.0000 0.3076  2 Pr 2.74

## Properties
Density: 6.29 g cm⁻³
Energy of formation: -1.279 eV/f.u.
E: -4.790 eV/atom
SG: No. 71
Total magnetic moment: 0.0 μB/f.u.

***

3.
Computed, not measured: a relaxed ZrAg2P crystal at the PBE-GGA level of DFT.

Cell lengths 3.7407, 3.7407, 5.4056 Å; angles 90.00, 90.00, 90.00 degrees
Closest atoms and distances in Å follow each position.
Atoms (fractional coordinates):
Zr1 0.5000 0.5000 0.5000  2 P 2.70, 8 Ag 2.98
Ag1 0.0000 0.0000 0.7539  2 Ag 2.66-2.75, 4 P 2.96
Ag2 0.0000 0.0000 0.2461  2 Ag 2.66-2.75, 4 P 2.96
P1 0.5000 0.5000 0.0000  2 Zr 2.70, 8 Ag 2.96

## Properties
Density: 7.42 g cm⁻³
Energy of formation: -0.053 eV/f.u.
E: -4.928 eV/atom
SG: No. 123
Total magnetic moment: 0.4 μB/f.u.

***

4.
Computed, not measured: a relaxed CeNd3In4 crystal at the PBE-GGA level of DFT.

Cell lengths 3.8620, 3.8620, 15.6095 Å; angles 90.00, 90.00, 90.00 degrees
Closest atoms and distances in Å follow each position.
Atoms (fractional coordinates):
Nd1 0.5000 0.5000 0.2502  8 In 3.35
Nd2 0.5000 0.5000 0.5000  8 In 3.36
Nd3 0.5000 0.5000 0.7498  8 In 3.35
Ce1 0.5000 0.5000 0.0000  8 In 3.36
In1 0.0000 0.0000 0.8743  4 Nd 3.35, 4 Ce 3.36
In2 0.0000 0.0000 0.1257  4 Nd 3.35, 4 Ce 3.36
In3 0.0000 0.0000 0.3746  8 Nd 3.35-3.36
In4 0.0000 0.0000 0.6254  8 Nd 3.35-3.36

## Properties
ΔE to the lowest computed polymorph: 0 meV/atom
Density: 7.36 g cm⁻³
Energy of formation: -3.588 eV/f.u.
E: -4.347 eV/atom
SG: No. 123
Total magnetic moment: 0.9 μB/f.u.

***

5.
Computed, not measured: a relaxed HoMg2Pb5 crystal at the PBE-GGA level of DFT.

Cell lengths 5.5550, 6.5382, 12.4263 Å; angles 90.00, 90.00, 90.00 degrees
Closest atoms and distances in Å follow each position.
Atoms (fractional coordinates):
Ho1 0.0000 0.0000 0.5000  8 Pb 3.27-3.38
Ho2 0.0000 0.5000 0.0000  8 Pb 3.27-3.38
Mg1 0.5000 0.3260 0.3891  8 Pb 3.15-3.33
Mg2 0.5000 0.6740 0.6109  8 Pb 3.15-3.33
Mg3 0.5000 0.1740 0.8891  8 Pb 3.15-3.33
Mg4 0.5000 0.8260 0.1109  8 Pb 3.15-3.33
Pb1 0.5000 0.3346 0.1282  4 Mg 3.15-3.33, 2 Pb 3.33, 2 Ho 3.38
Pb2 0.5000 0.6654 0.8718  4 Mg 3.15-3.33, 2 Pb 3.33, 2 Ho 3.38
Pb3 0.5000 0.8346 0.3718  4 Mg 3.15-3.33, 2 Pb 3.33, 2 Ho 3.38
Pb4 0.5000 0.1654 0.6282  4 Mg 3.15-3.33, 2 Pb 3.33, 2 Ho 3.38
Pb5 0.0000 0.7970 0.7412  6 Pb 3.28-3.57, 1 Ho 3.28, 2 Mg 3.31
Pb6 0.0000 0.2030 0.2588  6 Pb 3.28-3.57, 1 Ho 3.28, 2 Mg 3.31
Pb7 0.0000 0.2970 0.7588  6 Pb 3.28-3.57, 1 Ho 3.28, 2 Mg 3.31
Pb8 0.0000 0.7030 0.2412  6 Pb 3.28-3.57, 1 Ho 3.28, 2 Mg 3.31
Pb9 0.0000 0.5000 0.5000  2 Ho 3.27, 4 Mg 3.30, 4 Pb 3.48-3.57
Pb10 0.0000 0.0000 0.0000  2 Ho 3.27, 4 Mg 3.30, 4 Pb 3.48-3.57

## Properties
ΔE to the lowest computed polymorph: 0 meV/atom
Density: 9.19 g cm⁻³
Energy of formation: -0.878 eV/f.u.
E: -3.398 eV/atom
SG: No. 55
Total magnetic moment: 0.0 μB/f.u.

***

6.
Computed, not measured: a relaxed Nd2H12PdRh3 crystal at the PBE-GGA level of DFT.

Cell lengths 6.1206, 6.1206, 6.1206 Å; angles 60.37, 60.37, 60.37 degrees
Closest atoms and distances in Å follow each position.
Atoms (fractional coordinates):
Nd1 0.6193 0.6193 0.6193  6 H 2.40-2.48
Nd2 0.3807 0.3807 0.3807  6 H 2.40-2.48
H1 0.3349 0.3349 0.8668  2 Rh 1.73, 2 H 1.93
H2 0.8958 0.8958 0.3645  1 Rh 1.72, 1 Pd 1.84
H3 0.3645 0.8958 0.8958  1 Rh 1.72, 1 Pd 1.84
H4 0.8668 0.3349 0.3349  2 Rh 1.73, 2 H 1.92-1.93
H5 0.8958 0.3645 0.8958  1 Rh 1.72, 1 Pd 1.84
H6 0.3349 0.8668 0.3349  2 Rh 1.73, 2 H 1.93
H7 0.6651 0.6651 0.1332  2 Rh 1.73, 2 H 1.93
H8 0.1042 0.1042 0.6355  1 Rh 1.72, 1 Pd 1.84
H9 0.6355 0.1042 0.1042  1 Rh 1.72, 1 Pd 1.84
H10 0.1332 0.6651 0.6651  2 Rh 1.73, 2 H 1.93
H11 0.1042 0.6355 0.1042  1 Rh 1.72, 1 Pd 1.84
H12 0.6651 0.1332 0.6651  2 Rh 1.73, 2 H 1.92-1.93
Pd1 0.0000 0.0000 0.0000  6 H 1.84
Rh1 0.5000 0.0000 0.0000  6 H 1.72-1.73
Rh2 0.0000 0.5000 0.0000  6 H 1.72-1.73
Rh3 0.0000 0.0000 0.5000  6 H 1.72-1.73

## Properties
Density: 7.27 g cm⁻³
E: -4.552 eV/atom
SG: No. 166
Total magnetic moment: 0.0 μB/f.u.

***

7.
Computed, not measured: a relaxed Nd4SmHg4 crystal at the PBE-GGA level of DFT.

Cell lengths 5.7617, 9.6627, 9.6627 Å; angles 90.00, 90.00, 90.00 degrees
Closest atoms and distances in Å follow each position.
Atoms (fractional coordinates):
Nd1 0.3959 0.4124 0.8428  4 Hg 3.18-3.25, 1 Sm 3.47, 1 Nd 3.48
Nd2 0.8959 0.6572 0.9124  4 Hg 3.18-3.25, 1 Sm 3.47, 1 Nd 3.48
Nd3 0.3959 0.5876 0.1572  4 Hg 3.18-3.25, 1 Sm 3.47, 1 Nd 3.48
Nd4 0.1041 0.0876 0.6572  4 Hg 3.18-3.25, 1 Sm 3.47, 1 Nd 3.48
Nd5 0.6041 0.8428 0.5876  4 Hg 3.18-3.25, 1 Sm 3.47, 1 Nd 3.48
Nd6 0.1041 0.9124 0.3428  4 Hg 3.18-3.25, 1 Sm 3.47, 1 Nd 3.48
Nd7 0.8959 0.3428 0.0876  4 Hg 3.18-3.25, 1 Sm 3.47, 1 Nd 3.48
Nd8 0.6041 0.1572 0.4124  4 Hg 3.18-3.25, 1 Sm 3.47, 1 Nd 3.48
Sm1 0.0000 0.0000 0.0000  4 Hg 3.15, 4 Nd 3.47
Sm2 0.5000 0.5000 0.5000  4 Hg 3.15, 4 Nd 3.47
Hg1 0.6060 0.8970 0.2011  1 Sm 3.15, 4 Nd 3.18-3.25, 3 Hg 3.32-3.42
Hg2 0.6060 0.1030 0.7989  1 Sm 3.15, 4 Nd 3.18-3.25, 3 Hg 3.32-3.42
Hg3 0.1060 0.7011 0.6030  1 Sm 3.15, 4 Nd 3.18-3.25, 3 Hg 3.32-3.42
Hg4 0.8940 0.3970 0.7011  1 Sm 3.15, 4 Nd 3.18-3.25, 3 Hg 3.32-3.42
Hg5 0.8940 0.6030 0.2989  1 Sm 3.15, 4 Nd 3.18-3.25, 3 Hg 3.32-3.42
Hg6 0.3940 0.2011 0.1030  1 Sm 3.15, 4 Nd 3.18-3.25, 3 Hg 3.32-3.42
Hg7 0.3940 0.7989 0.8970  1 Sm 3.15, 4 Nd 3.18-3.25, 3 Hg 3.32-3.42
Hg8 0.1060 0.2989 0.3970  1 Sm 3.15, 4 Nd 3.18-3.25, 3 Hg 3.32-3.42

## Properties
Density: 9.44 g cm⁻³
Energy of formation: -2.384 eV/f.u.
E: -3.042 eV/atom
SG: No. 86
Total magnetic moment: 0.0 μB/f.u.

***

8.
Computed, not measured: a relaxed Nd5HoGa6 crystal at the PBE-GGA level of DFT.

Cell lengths 5.1922, 7.3409, 8.2208 Å; angles 90.00, 71.59, 90.00 degrees
Closest atoms and distances in Å follow each position.
Atoms (fractional coordinates):
Nd1 0.6696 0.5000 0.6608  8 Ga 3.21-3.24
Nd2 0.3342 0.0000 0.3317  8 Ga 3.15-3.21
Nd3 0.0000 0.5000 0.0000  8 Ga 3.16-3.20
Nd4 0.6658 0.0000 0.6683  8 Ga 3.15-3.21
Nd5 0.3304 0.5000 0.3392  8 Ga 3.21-3.24
Ho1 0.0000 0.0000 0.0000  8 Ga 3.11-3.16
Ga1 0.8368 0.7560 0.3263  1 Ho 3.11, 7 Nd 3.15-3.22
Ga2 0.8368 0.2440 0.3263  1 Ho 3.11, 7 Nd 3.15-3.22
Ga3 0.5000 0.2455 0.0000  6 Nd 3.15-3.24, 2 Ho 3.16
Ga4 0.5000 0.7545 0.0000  6 Nd 3.15-3.24, 2 Ho 3.16
Ga5 0.1632 0.7560 0.6737  1 Ho 3.11, 7 Nd 3.15-3.22
Ga6 0.1632 0.2440 0.6737  1 Ho 3.11, 7 Nd 3.15-3.22

## Properties
Density: 7.29 g cm⁻³
Energy of formation: -6.693 eV/f.u.
E: -4.439 eV/atom
SG: No. 65
Total magnetic moment: 0.0 μB/f.u.

***

9.
Computed, not measured: a relaxed RePtW2 crystal at the PBE-GGA level of DFT.

Cell lengths 2.7206, 2.7206, 8.7892 Å; angles 90.00, 90.00, 104.69 degrees
Closest atoms and distances in Å follow each position.
Atoms (fractional coordinates):
Pt1 0.0000 0.0000 0.4992  4 Pt 2.72, 2 W 2.73, 2 Re 2.77
Re1 0.5000 0.5000 0.7509  4 Re 2.72, 2 W 2.73, 2 Pt 2.77
W1 0.0000 0.0000 0.9977  6 W 2.72-2.79, 2 Re 2.73
W2 0.5000 0.5000 0.2522  6 W 2.72-2.79, 2 Pt 2.73

## Properties
ΔE to the lowest computed polymorph: 160 meV/atom
Density: 19.76 g cm⁻³
Energy of formation: 0.258 eV/f.u.
E: -11.034 eV/atom
SG: No. 35
Total magnetic moment: 0.0 μB/f.u.

***

10.
Computed, not measured: a relaxed BaThSe2 crystal at the PBE-GGA level of DFT.

Cell lengths 4.2449, 4.2449, 8.2796 Å; angles 75.15, 75.15, 60.00 degrees
Closest atoms and distances in Å follow each position.
Atoms (fractional coordinates):
Ba1 0.4946 0.4946 0.5163  6 Se 3.20-3.40
Th1 0.6705 0.6705 0.9886  6 Se 2.97-3.05
Se1 0.0746 0.0746 0.7763  3 Th 2.97, 3 Ba 3.20
Se2 0.2604 0.2604 0.2189  3 Th 3.05, 3 Ba 3.40

## Properties
ΔE to the lowest computed polymorph: 50 meV/atom
Density: 7.09 g cm⁻³
Formation energy without anion corrections: -640 kJ/mol of formula units
E: -5.737 eV/atom
SG: No. 160
Total magnetic moment: 0.0 μB/f.u.